MnBrNO2 | GGA+U | relaxed

Computed properties:
**Total magnetic moment**: 5.0 μB per cell
**VASP energy**: -23.1 eV for the cell shown
**Density of states at the Fermi level**: 0.124 states/eV/atom
**SG**: P4/mmm, No. 123

a b c (Å): 4.0846 4.0846 3.7438
angles (deg): 90.00 90.00 90.00
Site moments in Bohr magnetons follow the coordinates.
Sites, in units of the cell vectors:
O 0.0000 0.5000 0.0000  0.02
O 0.5000 0.0000 0.0000  0.02
N 0.0000 0.0000 0.5000  0.02
Br 0.0000 0.0000 0.0000  0.01
Mn 0.5000 0.5000 0.5000  4.70